<i>
An optimized crystal structure of ZrTe2IrN, computed with GGA-PBE.

Values from the calculation:
total moment = 0.404 μB/f.u.
crystal system = tetragonal

Lattice parameters (Å, degrees): 5.639 5.639 3.851 90.00 90.00 90.00
Element x y z (fractional)
Zr 0.000 0.000 0.000
Te 0.000 0.500 0.000
Te 0.500 0.000 0.000
Ir 0.500 0.500 0.500
N 0.000 0.000 0.500


<ii>
An optimized crystal structure of ZrTe2IrN, computed with GGA-PBE.

Values from the calculation:
total moment = 0.906 μB/f.u.
crystal system = tetragonal

Lattice parameters (Å, degrees): 5.478 5.478 3.685 90.00 90.00 90.00
Element x y z (fractional)
Zr 0.000 0.000 0.000
Te 0.000 0.500 0.500
Te 0.500 0.000 0.500
Ir 0.500 0.500 0.500
N 0.500 0.500 0.000


Consider the structures shown above. The least stable of them is <i>.